[1]
A relaxed Co2HgSe crystal, computed with GGA-PBE.

Cell lengths 3.783, 3.783, 7.395 Å; angles 60.31, 60.31, 59.94 degrees
Last column: magnetic moment on the atom in μB.
Positions (direct):
Hg 0.583 0.583 0.555  0.02
Se 0.213 0.213 0.125  0.05
Co 0.980 0.980 0.970  1.27
Co 0.724 0.724 0.850  1.77

Output
* Fermi-level density of states: 2.80 states/eV per cell
* crystal system: monoclinic
* SG: No. 8
* relative energy among the computed polymorphs: 43 meV per atom

[2]
A relaxed PuSnN crystal, computed with GGA-PBE.

Cell lengths 3.352, 3.352, 6.214 Å; angles 105.65, 105.65, 90.00 degrees
Last column: magnetic moment on the atom in μB.
Positions (direct):
Sn 0.028 0.028 0.057  0.00
N 0.230 0.230 0.460  -0.23
Pu 0.742 0.742 0.483  4.92

Output
* Fermi-level density of states: 7.67 states/eV per cell
* crystal system: tetragonal
* SG: No. 107
* relative energy among the computed polymorphs: 349 meV per atom

[3]
A relaxed CsNaSiAu2 crystal, computed with GGA-PBE.

Cell lengths 4.991, 4.991, 5.621 Å; angles 90.00, 90.00, 90.00 degrees
Positions (direct):
Au 0.000 0.500 0.000
Na 0.000 0.000 0.500
Cs 0.500 0.500 0.500
Au 0.500 0.000 0.000
Si 0.000 0.000 0.000

Output
* Fermi-level density of states: 1.39 states/eV per cell
* crystal system: tetragonal
* SG: No. 123

[4]
A relaxed Th2TcGeC crystal, computed with GGA-PBE.

Cell lengths 4.018, 6.787, 8.563 Å; angles 113.04, 90.00, 90.00 degrees
Positions (direct):
C 0.750 0.166 0.180
Tc 0.250 0.516 0.737
Tc 0.750 0.484 0.263
Th 0.250 0.226 0.977
Ge 0.750 0.282 0.710
Th 0.750 0.789 0.604
Th 0.750 0.774 0.023
Th 0.250 0.211 0.396
Ge 0.250 0.718 0.290
C 0.250 0.834 0.820

Output
* ΔH_f (0 K): -381.7 meV/atom
* Fermi-level density of states: 8.34 states/eV per cell
* crystal system: monoclinic
* SG: No. 11

[5]
A relaxed Sm3TlRh crystal, computed with GGA-PBE.

Cell lengths 4.833, 7.497, 8.425 Å; angles 111.70, 90.00, 90.00 degrees
Positions (direct):
Rh 0.250 0.918 0.397
Tl 0.750 0.682 0.804
Sm 0.750 0.058 0.258
Sm 0.750 0.311 0.935
Rh 0.750 0.082 0.603
Sm 0.250 0.689 0.065
Sm 0.750 0.662 0.405
Tl 0.250 0.318 0.196
Sm 0.250 0.338 0.595
Sm 0.250 0.942 0.742

Output
* ΔH_f (0 K): -465.3 meV/atom
* Fermi-level density of states: 9.22 states/eV per cell
* crystal system: monoclinic
* SG: No. 11
* relative energy among the computed polymorphs: 22 meV per atom

[6]
A relaxed PrIn2Ag crystal, computed with GGA-PBE.

Cell lengths 3.615, 3.615, 7.629 Å; angles 90.00, 90.00, 90.00 degrees
Positions (direct):
Pr 0.500 0.500 0.500
In 0.000 0.000 0.209
Ag 0.500 0.500 0.000
In 0.000 0.000 0.791

Output
* ΔH_f (0 K): -261.4 meV/atom
* Fermi-level density of states: 3.03 states/eV per cell
* crystal system: tetragonal
* SG: No. 123

Computed final energy, in the same sequence as the records: -17.0, -28.2, -14.9, -41.0, -26.2, -14.2 eV/f.u..